# K3TlBr6

An optimized crystal structure of K3TlBr6 (PBE, Alexandria via LeMat-Bulk).

Uncorrected formation energy (kJ/mol of formula units): -1200
Energy above the lowest structure with this stoichiometry (meV/atom): 0
Total DFT energy (no corrections) (eV/atom): -2.81

Unit cell a=7.8809 b=8.4384 c=11.2057 alpha=90.00 beta=88.12 gamma=90.00
Positions (direct):
Br (0.7132, 0.1771, 0.9443)
Br (0.6363, 0.4412, 0.2712)
Br (0.1363, 0.0588, 0.7712)
Br (0.3343, 0.7778, 0.4207)
Br (0.3637, 0.5588, 0.7288)
Br (0.6657, 0.2222, 0.5793)
Br (0.1657, 0.2778, 0.0793)
Br (0.8637, 0.9412, 0.2288)
Br (0.2132, 0.3229, 0.4443)
Br (0.2868, 0.8229, 0.0557)
Br (0.8343, 0.7222, 0.9207)
Br (0.7868, 0.6771, 0.5557)
K (0.0320, 0.5806, 0.2593)
K (0.5320, 0.9194, 0.7593)
K (0.0000, 0.0000, 0.5000)
K (0.9680, 0.4194, 0.7407)
K (0.5000, 0.5000, 0.0000)
K (0.4680, 0.0806, 0.2407)
Tl (0.5000, 0.5000, 0.5000)
Tl (0.0000, 0.0000, 0.0000)

***

# KTl3Br6

An optimized crystal structure of KTl3Br6 (PBE, Alexandria via LeMat-Bulk).

Uncorrected formation energy (kJ/mol of formula units): -853
Total DFT energy (no corrections) (eV/atom): -2.71

Unit cell a=7.7193 b=8.6377 c=11.2414 alpha=90.00 beta=93.68 gamma=90.00
Positions (direct):
Br (0.3675, 0.5714, 0.7692)
Br (0.8052, 0.6676, 0.9636)
Br (0.1580, 0.2692, 0.4159)
Br (0.6325, 0.4286, 0.2308)
Br (0.6948, 0.1676, 0.5364)
Br (0.1948, 0.3324, 0.0364)
Br (0.6580, 0.2308, 0.9159)
Br (0.3420, 0.7692, 0.0841)
Br (0.8675, 0.9286, 0.2692)
Br (0.8420, 0.7308, 0.5841)
Br (0.3052, 0.8324, 0.4636)
Br (0.1325, 0.0714, 0.7308)
K (0.5000, 0.5000, 0.5000)
K (0.0000, 0.0000, 0.0000)
Tl (0.9700, 0.4278, 0.7693)
Tl (0.5300, 0.9278, 0.7307)
Tl (0.5000, 0.5000, 0.0000)
Tl (0.0300, 0.5722, 0.2307)
Tl (0.0000, 0.0000, 0.5000)
Tl (0.4700, 0.0722, 0.2693)

***

# K5TlBr7

An optimized crystal structure of K5TlBr7 (PBE, Alexandria via LeMat-Bulk).

Uncorrected formation energy (kJ/mol of formula units): -1787
Total DFT energy (no corrections) (eV/atom): -2.93

Unit cell a=4.4663 b=8.2376 c=27.7286 alpha=90.04 beta=90.00 gamma=105.73
Positions (direct):
K (0.0003, 0.0005, 0.5004)
K (0.2798, 0.5595, 0.0712)
K (0.2794, 0.5587, 0.4289)
K (0.4611, 0.9223, 0.6475)
K (0.7211, 0.4422, 0.5718)
K (0.4608, 0.9215, 0.8524)
K (0.5398, 0.0797, 0.1470)
K (0.0004, 0.0008, 0.9995)
K (0.5392, 0.0785, 0.3530)
K (0.7209, 0.4418, 0.9282)
Br (0.8059, 0.6117, 0.6835)
Br (0.8055, 0.6110, 0.8166)
Br (0.1950, 0.3899, 0.1833)
Br (0.5916, 0.1833, 0.7499)
Br (0.1946, 0.3893, 0.3167)
Br (0.3631, 0.7261, 0.5408)
Br (0.6374, 0.2748, 0.4599)
Br (0.3630, 0.7260, 0.9592)
Br (0.6378, 0.2755, 0.0401)
Br (0.4089, 0.8178, 0.2500)
Br (0.9130, 0.8260, 0.3921)
Br (0.0873, 0.1746, 0.8913)
Br (0.0876, 0.1752, 0.6087)
Br (0.9136, 0.8273, 0.1078)
Tl (0.2231, 0.4462, 0.7499)
Tl (0.7772, 0.5545, 0.2502)

***

# K2TlBr

An optimized crystal structure of K2TlBr (PBE, Alexandria via LeMat-Bulk).

Uncorrected formation energy (kJ/mol of formula units): -233
Energy above the lowest structure with this stoichiometry (meV/atom): 200
Total DFT energy (no corrections) (eV/atom): -2.16

Unit cell a=7.1085 b=7.1085 c=7.1085 alpha=145.37 beta=116.97 gamma=73.95
Positions (direct):
K (0.0430, 0.0430, 0.0000)
K (0.4570, 0.4570, 0.0000)
Br (0.2500, 0.7500, 0.5000)
Tl (0.7500, 0.2500, 0.5000)